Record 1
Pm2Pr2Y after structural relaxation, computed with PBE-GGA.

abc: 6.419 8.723 9.789
angles: 43.74 70.86 68.41
Atoms (fractional coordinates):
Pm1 0.985 0.746 0.451
Pm2 0.819 0.246 0.951
Pm3 0.181 0.754 0.049
Pm4 0.015 0.254 0.549
Pr1 0.784 0.754 0.848
Pr2 0.386 0.746 0.652
Pr3 0.614 0.254 0.348
Pr4 0.216 0.246 0.152
Y1 0.583 0.750 0.250
Y2 0.417 0.250 0.750

Results
- total DFT energy (no corrections) (eV per atom) = -5.078
- DOS at the Fermi energy (states/eV/atom) = 1.771
- symmetry = No. 15
- formation energy from the elements (meV per atom) = 27



Record 2
ThZnTe after structural relaxation, computed with PBE-GGA.

abc: 4.290 4.290 8.907
angles: 90.00 90.00 90.00
Atoms (fractional coordinates):
Th1 0.000 0.500 0.743
Th2 0.500 0.000 0.257
Te1 0.500 0.000 0.632
Te2 0.000 0.500 0.368
Zn1 0.000 0.000 0.000
Zn2 0.500 0.500 0.000

Results
- total DFT energy (no corrections) (eV per atom) = -4.545
- DOS at the Fermi energy (states/eV/atom) = 1.076
- symmetry = No. 129



Q: What is the total DFT energy (no corrections) in the first record?
A: -5.078 eV per atom



Q: What is the total DFT energy (no corrections) in the second record?
A: -4.545 eV per atom